DFT (PBE) results for an optimized crystal structure of SnGe2BN.

Summary:
V = 23.081 A^3/atom
SG = P4/mmm (123)
raw formation energy = 1.95 eV/atom

Unit cell a=5.396 b=3.963 c=5.396 alpha=90.00 beta=90.00 gamma=90.00
Sites, in units of the cell vectors:
Sn  0.000  0.000  0.000
Ge  0.000  0.000  0.500
Ge  0.500  0.000  0.000
B  0.500  0.500  0.500
N  0.000  0.500  0.000



DFT (PBE) results for an optimized crystal structure of GeBTeN2.

Summary:
V = 19.167 A^3/atom
SG = P4/mmm (123)
raw formation energy = 1.62 eV/atom
energy above the lowest structure with this stoichiometry = 0.00 eV per formula unit

Unit cell a=3.590 b=3.590 c=7.434 alpha=90.00 beta=90.00 gamma=90.00
Sites, in units of the cell vectors:
N  0.000  0.500  0.000
N  0.500  0.000  0.000
Ge  0.000  0.000  0.000
Te  0.000  0.000  0.500
B  0.500  0.500  0.500



DFT (PBE) results for an optimized crystal structure of GeBTeN2.

Summary:
V = 13.600 A^3/atom
SG = P4/mmm (123)
raw formation energy = 1.68 eV/atom
energy above the lowest structure with this stoichiometry = 0.29 eV per formula unit

Unit cell a=3.635 b=3.635 c=5.146 alpha=90.00 beta=90.00 gamma=90.00
Sites, in units of the cell vectors:
B  0.000  0.000  0.000
N  0.500  0.000  0.000
N  0.000  0.500  0.000
Te  0.000  0.000  0.500
Ge  0.500  0.500  0.500



DFT (PBE) results for an optimized crystal structure of YGeBN2.

Summary:
V = 16.608 A^3/atom
SG = P4/mmm (123)
raw formation energy = 1.44 eV/atom

Unit cell a=3.776 b=5.825 c=3.776 alpha=90.00 beta=90.00 gamma=90.00
Sites, in units of the cell vectors:
Ge  0.000  0.000  0.000
B  0.500  0.500  0.500
N  0.500  0.000  0.000
N  0.000  0.000  0.500
Y  0.000  0.500  0.000



DFT (PBE) results for an optimized crystal structure of NaGe3B.

Summary:
energy of formation = 0.57 eV per atom
V = 18.846 A^3/atom
SG = Pm-3m (221)
energy above the lowest structure with this stoichiometry = 0.00 eV per formula unit

Unit cell a=4.551 b=4.551 c=4.551 alpha=90.00 beta=90.00 gamma=90.00
Sites, in units of the cell vectors:
Na  0.500  0.500  0.500
Ge  0.000  0.500  0.000
Ge  0.500  0.000  0.000
Ge  0.000  0.000  0.500
B  0.000  0.000  0.000



DFT (PBE) results for an optimized crystal structure of NaGeB.

Summary:
energy of formation = 0.41 eV per atom
V = 18.504 A^3/atom
SG = Cmcm (63)

Unit cell a=10.981 b=10.981 c=3.202 alpha=90.00 beta=90.00 gamma=163.29
Sites, in units of the cell vectors:
Ge  0.181  0.819  0.750
Ge  0.819  0.181  0.250
B  0.750  0.250  0.750
B  0.250  0.750  0.250
Na  0.426  0.574  0.750
Na  0.574  0.426  0.250



DFT (PBE) results for an optimized crystal structure of NaGe2B.

Summary:
energy of formation = 0.49 eV per atom
V = 21.742 A^3/atom
SG = I-42d (122)

Unit cell a=6.210 b=6.210 c=6.295 alpha=60.45 beta=60.45 gamma=90.00
Sites, in units of the cell vectors:
B  0.250  0.750  0.500
B  0.500  0.500  0.000
Ge  0.246  0.625  0.250
Ge  0.504  0.125  0.250
Ge  0.375  0.496  0.750
Ge  0.875  0.754  0.750
Na  0.750  0.250  0.500
Na  0.000  0.000  0.000



DFT (PBE) results for an optimized crystal structure of NaGeB.

Summary:
energy of formation = 0.18 eV per atom
V = 18.935 A^3/atom
SG = C2/m (12)

Unit cell a=5.770 b=4.760 c=5.199 alpha=90.02 beta=63.68 gamma=114.38
Sites, in units of the cell vectors:
Na  0.617  0.808  0.193
Na  0.383  0.192  0.807
Ge  0.000  0.500  0.235
Ge  0.000  0.500  0.765
B  0.000  0.170  0.500
B  0.000  0.830  0.500



DFT (PBE) results for an optimized crystal structure of NaGeB.

Summary:
energy of formation = 0.51 eV per atom
V = 19.573 A^3/atom
SG = Pnma (62)

Unit cell a=5.999 b=3.569 c=10.970 alpha=90.00 beta=90.00 gamma=90.00
Sites, in units of the cell vectors:
Na  0.846  0.750  0.160
Na  0.154  0.250  0.840
Na  0.346  0.750  0.340
Na  0.654  0.250  0.660
B  0.026  0.750  0.616
B  0.974  0.250  0.384
B  0.474  0.250  0.116
B  0.526  0.750  0.884
Ge  0.833  0.750  0.439
Ge  0.333  0.750  0.061
Ge  0.167  0.250  0.561
Ge  0.667  0.250  0.939



DFT (PBE) results for an optimized crystal structure of NaGeB.

Summary:
energy of formation = 0.62 eV per atom
V = 19.139 A^3/atom
SG = Pmma (51)

Unit cell a=6.180 b=4.803 c=3.869 alpha=90.00 beta=90.00 gamma=90.00
Sites, in units of the cell vectors:
Na  0.750  0.000  0.316
Na  0.250  0.000  0.684
B  0.000  0.500  0.500
B  0.500  0.500  0.500
Ge  0.250  0.500  0.160
Ge  0.750  0.500  0.840



DFT (PBE) results for an optimized crystal structure of Na2GeB.

Summary:
energy of formation = 0.41 eV per atom
V = 27.483 A^3/atom
SG = I-42d (122)
energy above the lowest structure with this stoichiometry = 0.00 eV per formula unit

Unit cell a=10.794 b=10.794 c=7.862 alpha=46.65 beta=46.65 gamma=90.00
Sites, in units of the cell vectors:
Na  0.375  0.615  0.750
Na  0.365  0.625  0.250
Na  0.875  0.635  0.750
Na  0.385  0.125  0.250
B  0.250  0.750  0.500
B  0.500  0.500  0.000
Ge  0.750  0.250  0.500
Ge  0.000  0.000  0.000



DFT (PBE) results for an optimized crystal structure of NaGeB.

Summary:
energy of formation = 0.13 eV per atom
V = 17.033 A^3/atom
SG = P-6m2 (187)

Unit cell a=3.566 b=3.566 c=4.639 alpha=90.00 beta=90.00 gamma=120.00
Sites, in units of the cell vectors:
Ge  0.667  0.333  0.500
B  0.333  0.667  0.500
Na  0.000  0.000  0.000